## Cs6La3Br14 (PBE-GGA)

Data for an optimized crystal structure of Cs6La3Br14.

```
Cs6La3Br14
1.0
-11.815 4.332 -3.463
2.892 -12.678 -1.130
-2.535 -1.214 7.131
Cs Br La
6 14 3
Cartesian
-9.370 -5.268 -2.107
-6.699 -5.752 3.061
-3.576 -1.655 0.568
-9.751 1.973 -1.009
-4.323 -11.409 2.942
-0.937 -6.701 4.948
-9.177 -8.571 3.304
-9.655 -4.322 1.469
-2.941 -5.073 2.128
-6.508 0.511 -0.118
-6.309 -2.112 3.034
-9.978 -0.072 2.078
-4.444 -8.173 4.938
-1.296 -9.274 1.997
-5.521 -8.461 0.634
-6.247 -3.790 -0.758
-9.930 -1.666 -1.706
-1.118 -0.535 3.144
-2.676 -3.719 6.441
-1.587 -12.281 5.371
-2.862 -7.416 0.488
-8.097 -1.905 0.645
-2.069 -0.991 5.820
```

Results
Energy: -3.696 eV/atom
Space-group type: P3
Uncorrected formation energy: -1.812 eV per atom